No. 1
The following is a DFT calculation (PBE) of a relaxed structure of HoCd6Pd12.

The structure in CIF format:
```
data_HoCd6Pd12
_chemical_formula_sum 'Ho3 Cd18 Pd36'
_space_group_name_H-M_alt 'R -3 m'
_space_group_IT_number 166
_space_group_name_Hall '-R 3 2"'
_cell_length_a 11.0996
_cell_length_b 11.0996
_cell_length_c 9.6852
_cell_angle_alpha 90.00
_cell_angle_beta 90.00
_cell_angle_gamma 120.00
loop_
_atom_site_label
_atom_site_type_symbol
_atom_site_fract_x
_atom_site_fract_y
_atom_site_fract_z
Ho1 Ho 0.0000 0.0000 0.0000
Cd1 Cd 0.0891 0.1782 0.7332
Pd1 Pd 0.0000 0.2555 0.0000
Pd2 Pd 0.0567 0.5284 0.1237
```

Summary:
For the density of states at the Fermi level, the calculation gives 35.689 states/eV per cell. For the total energy, the calculation gives -230.43 eV for the cell shown. The formation energy is -0.233 eV per atom. Its calculated volume is 18.1 Å³ per atom. The spin magnetization is 0.000 μB/f.u.

No. 2
The following is a DFT calculation (PBE) of a relaxed structure of Ho2Cd5Pd.

The structure in CIF format:
```
data_Ho2Cd5Pd
_chemical_formula_sum 'Ho6 Cd15 Pd3'
_space_group_name_H-M_alt 'R -3 m'
_space_group_IT_number 166
_space_group_name_Hall '-R 3 2"'
_cell_length_a 4.8282
_cell_length_b 4.8282
_cell_length_c 29.6718
_cell_angle_alpha 90.00
_cell_angle_beta 90.00
_cell_angle_gamma 120.00
loop_
_atom_site_label
_atom_site_type_symbol
_atom_site_fract_x
_atom_site_fract_y
_atom_site_fract_z
Ho1 Ho 0.0000 0.0000 0.0885
Cd1 Cd 0.0000 0.0000 0.1997
Cd2 Cd 0.0000 0.0000 0.3526
Cd3 Cd 0.0000 0.0000 0.5000
Pd1 Pd 0.0000 0.0000 0.0000
```

Summary:
For the density of states at the Fermi level, the calculation gives 18.310 states/eV per cell. For the total energy, the calculation gives -61.56 eV for the cell shown. The formation energy is -0.199 eV per atom. Its calculated volume is 25.0 Å³ per atom. The spin magnetization is 0.000 μB/f.u.

No. 3
The following is a DFT calculation (PBE) of a relaxed structure of HoCdPd.

The structure in CIF format:
```
data_HoCdPd
_chemical_formula_sum 'Ho4 Cd4 Pd4'
_space_group_name_H-M_alt 'F -4 3 m'
_space_group_IT_number 216
_space_group_name_Hall 'F -4 2 3'
_cell_length_a 6.642
_cell_length_b 6.642
_cell_length_c 6.642
_cell_angle_alpha 90.00
_cell_angle_beta 90.00
_cell_angle_gamma 90.00
loop_
_atom_site_label
_atom_site_type_symbol
_atom_site_fract_x
_atom_site_fract_y
_atom_site_fract_z
Ho1 Ho 0.000 0.000 0.000
Cd1 Cd 0.000 0.000 0.500
Pd1 Pd 0.250 0.250 0.250
```

Summary:
For the density of states at the Fermi level, the calculation gives 6.604 states/eV per cell. For the total energy, the calculation gives -49.48 eV for the cell shown. The formation energy is -0.562 eV per atom. Its calculated volume is 24.4 Å³ per atom. The spin magnetization is 0.000 μB/f.u.

No. 4
The following is a DFT calculation (PBE) of a relaxed structure of HoCd2Pd4.

The structure in CIF format:
```
data_HoCd2Pd4
_chemical_formula_sum 'Ho2 Cd4 Pd8'
_space_group_name_H-M_alt 'I 4/m m m'
_space_group_IT_number 139
_space_group_name_Hall '-I 4 2'
_cell_length_a 4.164
_cell_length_b 4.164
_cell_length_c 15.748
_cell_angle_alpha 90.00
_cell_angle_beta 90.00
_cell_angle_gamma 90.00
loop_
_atom_site_label
_atom_site_type_symbol
_atom_site_fract_x
_atom_site_fract_y
_atom_site_fract_z
Ho1 Ho 0.000 0.000 0.000
Cd1 Cd 0.000 0.000 0.252
Pd1 Pd 0.000 0.500 0.124
```

Summary:
For the density of states at the Fermi level, the calculation gives 3.992 states/eV per cell. For the total energy, the calculation gives -60.57 eV for the cell shown. The formation energy is -0.444 eV per atom. Its calculated volume is 19.5 Å³ per atom. The spin magnetization is 0.000 μB/f.u.